# PrFeP2Os, relaxed, DFT GGA-PBE
data_PrFeP2Os
_cell_length_a 3.950
_cell_length_b 3.950
_cell_length_c 10.678
_cell_angle_alpha 90.00
_cell_angle_beta 90.00
_cell_angle_gamma 90.00
_space_group_name_H-M_alt 'I -4 m 2'
_space_group_IT_number 119
_space_group_name_Hall 'I -4 -2'
loop_
_atom_site_label
_atom_site_type_symbol
_atom_site_fract_x
_atom_site_fract_y
_atom_site_fract_z
Pr1 Pr 0.000 0.000 0.000
Fe1 Fe 0.000 0.500 0.250
P1 P 0.000 0.000 0.358
Os1 Os 0.000 0.500 0.750
# * V: 16.66 A^3/atom
# * magnetization: 0.00 μB/cell
# * E_form: -0.822 eV/atom
# * total DFT energy (no corrections): -7.880 eV/atom